Ni15Ge4Ir | PBE | relaxed

Computed properties:
- N(E_F): 0.90 states/eV per atom
- Formation energy: -19.9 kJ per mole of atoms
- Magnetic moment: 2.09 μB/cell

a = 3.590 Å, b = 3.590 Å, c = 17.905 Å
α = 90.00°, β = 90.00°, γ = 90.00°
Last column: magnetic moment on the atom in μB.
Positions (direct):
Ni 0.000 0.500 0.699  -0.01
Ni 0.000 0.500 0.301  -0.01
Ni 0.500 0.500 0.000  0.26
Ge 0.000 0.000 0.798  0.00
Ni 0.500 0.000 0.500  0.00
Ni 0.500 0.000 0.699  -0.01
Ni 0.500 0.000 0.301  -0.01
Ge 0.000 0.000 0.401  0.00
Ni 0.000 0.500 0.102  0.32
Ge 0.000 0.000 0.599  0.00
Ni 0.000 0.500 0.898  0.32
Ir 0.000 0.000 0.000  0.55
Ni 0.500 0.500 0.400  0.02
Ni 0.500 0.500 0.799  0.06
Ni 0.500 0.500 0.201  0.06
Ge 0.000 0.000 0.202  0.00
Ni 0.500 0.500 0.600  0.02
Ni 0.500 0.000 0.102  0.32
Ni 0.000 0.500 0.500  0.00
Ni 0.500 0.000 0.898  0.32



Np2Ni4Ge3Ir | PBE | relaxed

Computed properties:
- N(E_F): 2.07 states/eV per atom
- Formation energy: -28.2 kJ per mole of atoms
- Magnetic moment: 7.30 μB/cell

a = 3.827 Å, b = 3.827 Å, c = 10.891 Å
α = 90.00°, β = 90.00°, γ = 90.00°
Last column: magnetic moment on the atom in μB.
Positions (direct):
Ni 0.500 0.000 0.657  -0.18
Ir 0.500 0.500 0.500  -0.09
Ni 0.000 0.500 0.343  -0.18
Np 0.500 0.000 0.260  3.54
Np 0.000 0.500 0.740  3.54
Ge 0.500 0.000 0.872  -0.02
Ge 0.000 0.000 0.500  -0.03
Ni 0.500 0.500 0.000  0.17
Ge 0.000 0.500 0.128  -0.02
Ni 0.000 0.000 0.000  0.16